Entry 1:
Material: BaZn2
Method: DFT, GGA-PBEsol
State: relaxed

Cell lengths 4.430, 6.278, 6.927 Å; angles 109.56, 90.00, 110.66 degrees
Sites, in units of the cell vectors:
Ba 0.319 0.638 0.375
Zn 0.637 0.274 0.757
Zn 0.066 0.132 0.518
Zn 0.598 0.196 0.366
Ba 0.971 0.942 0.959
Zn 0.242 0.485 0.858

Values from the calculation:
Electronic total energy ... -11.24 eV/cell
Spin magnetization ... 0.00 μB/cell
ΔE_f ... -0.102 eV/atom

***

Entry 2:
Material: CdTeN2O
Method: DFT, GGA-PBEsol
State: relaxed

Cell lengths 3.958, 3.958, 6.307 Å; angles 90.00, 90.00, 90.00 degrees
Sites, in units of the cell vectors:
O 0.500 0.500 0.500
N 0.000 0.500 0.000
Te 0.000 0.000 0.500
N 0.500 0.000 0.000
Cd 0.000 0.000 0.000

Values from the calculation:
Electronic total energy ... -16.97 eV/cell
Formation energy (no corrections) ... 2012 meV per atom
Spin magnetization ... 3.86 μB/cell

***

Entry 3:
Material: YNi4Rh
Method: DFT, GGA-PBEsol
State: relaxed

Cell lengths 4.802, 4.802, 4.802 Å; angles 60.00, 60.00, 60.00 degrees
Sites, in units of the cell vectors:
Ni 0.376 0.376 0.872
Y 0.000 0.000 0.000
Ni 0.872 0.376 0.376
Rh 0.750 0.750 0.750
Ni 0.376 0.872 0.376
Ni 0.376 0.376 0.376

Values from the calculation:
Electronic total energy ... -41.05 eV/cell
Spin magnetization ... 1.66 μB/cell
ΔE_f ... -0.244 eV/atom

***

Entry 4:
Material: LiFe2Pb
Method: DFT, GGA-PBEsol
State: relaxed

Cell lengths 4.308, 4.307, 4.299 Å; angles 120.06, 120.07, 90.00 degrees
Sites, in units of the cell vectors:
Fe 0.750 0.250 0.500
Li 0.500 0.500 0.000
Pb 0.250 0.750 0.500
Fe 0.000 0.000 0.000

Values from the calculation:
Electronic total energy ... -22.83 eV/cell
Spin magnetization ... 4.49 μB/cell
ΔE_f ... 0.265 eV/atom

***

Entry 5:
Material: VO2
Method: DFT, GGA-PBEsol
State: relaxed

Cell lengths 4.877, 4.877, 8.947 Å; angles 92.56, 92.56, 113.41 degrees
Sites, in units of the cell vectors:
O 0.323 0.301 0.117
V 0.072 0.425 0.231
O 0.807 0.817 0.617
O 0.757 0.086 0.142
O 0.183 0.193 0.383
V 0.435 0.069 0.269
V 0.575 0.928 0.769
O 0.255 0.590 0.639
O 0.410 0.745 0.361
O 0.699 0.677 0.883
O 0.096 0.749 0.139
O 0.750 0.408 0.358
O 0.592 0.250 0.642
V 0.997 0.003 0.000
O 0.251 0.904 0.861
O 0.914 0.243 0.858
V 0.509 0.490 0.500
V 0.931 0.565 0.731

Values from the calculation:
Electronic total energy ... -162.34 eV/cell
Formation energy (no corrections) ... -2308 meV per atom
Spin magnetization ... 6.03 μB/cell

***

Entry 6:
Material: YCd2Ag2
Method: DFT, GGA-PBEsol
State: relaxed

Cell lengths 4.047, 4.047, 7.151 Å; angles 106.44, 106.44, 90.00 degrees
Sites, in units of the cell vectors:
Y 0.000 0.000 0.000
Cd 0.750 0.250 0.500
Ag 0.400 0.400 0.800
Cd 0.250 0.750 0.500
Ag 0.600 0.600 0.200

Values from the calculation:
Electronic total energy ... -16.80 eV/cell
Spin magnetization ... 0.00 μB/cell
ΔE_f ... -0.193 eV/atom

***

Entry 7:
Material: CrHgIr2
Method: DFT, GGA-PBEsol
State: relaxed

Cell lengths 2.770, 3.422, 6.354 Å; angles 90.00, 90.00, 90.00 degrees
Sites, in units of the cell vectors:
Hg 0.500 0.500 0.500
Cr 0.500 0.500 0.000
Ir 0.000 0.000 0.792
Ir 0.000 0.000 0.208

Values from the calculation:
Electronic total energy ... -29.61 eV/cell
Spin magnetization ... 1.22 μB/cell
ΔE_f ... 0.212 eV/atom

***

Entry 8:
Material: Y2ZrW
Method: DFT, GGA-PBEsol
State: relaxed

Cell lengths 3.067, 4.954, 6.010 Å; angles 90.00, 100.70, 90.00 degrees
Sites, in units of the cell vectors:
W 0.500 0.500 0.500
Y 0.086 0.000 0.262
Y 0.914 0.000 0.738
Zr 0.500 0.500 0.000

Values from the calculation:
Electronic total energy ... -34.63 eV/cell
Spin magnetization ... 0.00 μB/cell
ΔE_f ... 0.478 eV/atom

***

Entry 9:
Material: LiZnCr4
Method: DFT, GGA-PBEsol
State: relaxed

Cell lengths 4.715, 4.715, 4.715 Å; angles 60.00, 60.00, 60.00 degrees
Sites, in units of the cell vectors:
Cr 0.376 0.376 0.376
Cr 0.872 0.376 0.376
Cr 0.376 0.376 0.872
Li 0.750 0.750 0.750
Cr 0.376 0.872 0.376
Zn 0.000 0.000 0.000

Values from the calculation:
Electronic total energy ... -41.53 eV/cell
Spin magnetization ... 0.00 μB/cell
ΔE_f ... 0.498 eV/atom

***

Entry 10:
Material: La4Al
Method: DFT, GGA-PBEsol
State: relaxed

Cell lengths 4.214, 4.214, 9.822 Å; angles 102.39, 102.39, 90.00 degrees
Sites, in units of the cell vectors:
Al 0.000 0.000 0.000
La 0.421 0.421 0.842
La 0.750 0.250 0.500
La 0.579 0.579 0.158
La 0.250 0.750 0.500

Values from the calculation:
Electronic total energy ... -23.97 eV/cell
Spin magnetization ... 0.01 μB/cell
ΔE_f ... 0.301 eV/atom

***

Entry 11:
Material: MnAu2
Method: DFT, GGA-PBEsol
State: relaxed

Cell lengths 3.202, 4.463, 6.932 Å; angles 90.00, 103.35, 90.00 degrees
Sites, in units of the cell vectors:
Au 0.738 0.750 0.476
Au 0.064 0.750 0.129
Mn 0.403 0.750 0.805
Au 0.936 0.250 0.871
Mn 0.597 0.250 0.195
Au 0.262 0.250 0.524

Values from the calculation:
Electronic total energy ... -35.08 eV/cell
Spin magnetization ... 8.22 μB/cell
ΔE_f ... 0.023 eV/atom

***

Entry 12:
Material: Ta2CoCu
Method: DFT, GGA-PBEsol
State: relaxed

Cell lengths 2.758, 4.625, 4.625 Å; angles 107.86, 89.90, 89.90 degrees
Sites, in units of the cell vectors:
Co 0.500 0.500 0.500
Ta 0.000 0.000 0.500
Ta 0.000 0.500 0.000
Cu 0.500 0.000 0.000

Values from the calculation:
Electronic total energy ... -37.15 eV/cell
Spin magnetization ... 0.00 μB/cell
ΔE_f ... 0.007 eV/atom